First-principles (GGA-PBE) data for crystalline CeTlCd at its relaxed geometry, as listed in Alexandria via LeMat-Bulk.

- Crystal system: hexagonal
- E_tot: -3.28 eV per atom
- SG: P-6m2, No. 187
- Energy relative to the elements: -0.212 eV per atom

abc: 3.521 5.133 5.133
angles: 120.00 90.00 90.00
Element x y z (fractional)
Cd 0.167 0.333 0.667
Tl 0.167 0.000 0.000
Ce 0.667 0.667 0.333